# 1
## TbFe3 (PBE)

Data for crystalline TbFe3 at its relaxed geometry. Values from VASP.

Energy relative to the elements   25.62 kJ/mol of atoms
Magnetization   6.265 μB/f.u.

Quantum ESPRESSO input file:
```
&SYSTEM
  ibrav = 0, nat = 4, ntyp = 2
/
ATOMIC_SPECIES
Fe 55.84 Fe.upf
Tb 158.93 Tb.upf
CELL_PARAMETERS angstrom
0.0000 3.0975 3.0975
3.0975 0.0000 3.0975
3.0975 3.0975 0.0000
ATOMIC_POSITIONS crystal
Fe 0.5000 0.5000 0.5000
Fe 0.2500 0.2500 0.2500
Fe 0.0000 0.0000 0.0000
Tb 0.7500 0.7500 0.7500
```

***

# 2
## TaFeTcSb (PBE)

Data for crystalline TaFeTcSb at its relaxed geometry. Values from VASP.

Excess energy over the best structure of this formula in the dataset   0.000 eV/atom
Magnetization   0.974 μB/f.u.

Quantum ESPRESSO input file:
```
&SYSTEM
  ibrav = 0, nat = 4, ntyp = 4
/
ATOMIC_SPECIES
Ta 180.95 Ta.upf
Sb 121.76 Sb.upf
Tc 98.00 Tc.upf
Fe 55.84 Fe.upf
CELL_PARAMETERS angstrom
2.3770 1.4797 3.4662
1.4292 4.2196 0.0826
-1.8001 2.9064 2.8577
ATOMIC_POSITIONS crystal
Ta 0.5000 0.5000 0.5000
Sb 0.0000 0.0000 0.0000
Tc 0.2500 0.2500 0.2500
Fe 0.7500 0.7500 0.7500
```